# 1
The following is a PBE-GGA calculation of a relaxed Tb2PaIn crystal, from Alexandria via LeMat-Bulk.

The total energy is -62.6 eV per cell. As for the density: 9.22 g/cm³. As for the energy relative to the elements: 0.16 eV/atom. The calculation puts the energy above the most stable polymorph in this dataset at 264 meV/atom.

```
data_Tb2PaIn
_space_group_name_H-M_alt 'R -3 m'
_space_group_IT_number 166
_space_group_name_Hall '-R 3 2"'
_cell_length_a 3.4070
_cell_length_b 3.4070
_cell_length_c 35.6664
_cell_angle_alpha 90.00
_cell_angle_beta 90.00
_cell_angle_gamma 120.00
loop_
_atom_site_label
_atom_site_type_symbol
_atom_site_fract_x
_atom_site_fract_y
_atom_site_fract_z
Tb1 Tb 0.0000 0.0000 0.0899
Pa1 Pa 0.0000 0.0000 0.5000
In1 In 0.0000 0.0000 0.0000
```

# 2
The following is a PBE-GGA calculation of a relaxed TbThPaIn crystal, from Alexandria via LeMat-Bulk.

The total energy is -95.2 eV per cell. As for the density: 10.92 g/cm³. As for the energy relative to the elements: 0.12 eV/atom.

```
data_TbThPaIn
_space_group_name_H-M_alt 'F -4 3 m'
_space_group_IT_number 216
_space_group_name_Hall 'F -4 2 3'
_cell_length_a 7.653
_cell_length_b 7.653
_cell_length_c 7.653
_cell_angle_alpha 90.00
_cell_angle_beta 90.00
_cell_angle_gamma 90.00
loop_
_atom_site_label
_atom_site_type_symbol
_atom_site_fract_x
_atom_site_fract_y
_atom_site_fract_z
Tb1 Tb 0.000 0.000 0.000
Th1 Th 0.000 0.000 0.500
Pa1 Pa 0.250 0.250 0.750
In1 In 0.250 0.250 0.250
```

# 3
The following is a PBE-GGA calculation of a relaxed TbPaZnIn crystal, from Alexandria via LeMat-Bulk.

The total energy is -73.2 eV per cell. As for the density: 9.51 g/cm³. As for the energy relative to the elements: -0.04 eV/atom.

```
data_TbPaZnIn
_space_group_name_H-M_alt 'F -4 3 m'
_space_group_IT_number 216
_space_group_name_Hall 'F -4 2 3'
_cell_length_a 7.356
_cell_length_b 7.356
_cell_length_c 7.356
_cell_angle_alpha 90.00
_cell_angle_beta 90.00
_cell_angle_gamma 90.00
loop_
_atom_site_label
_atom_site_type_symbol
_atom_site_fract_x
_atom_site_fract_y
_atom_site_fract_z
Tb1 Tb 0.000 0.000 0.000
Pa1 Pa 0.000 0.000 0.500
Zn1 Zn 0.250 0.250 0.250
In1 In 0.250 0.250 0.750
```

# 4
The following is a PBE-GGA calculation of a relaxed Pa6InTc8 crystal, from Alexandria via LeMat-Bulk.

The total energy is -140.0 eV per cell. As for the density: 11.44 g/cm³. As for the energy relative to the elements: 0.18 eV/atom.

```
data_Pa6InTc8
_space_group_name_H-M_alt 'P -3'
_space_group_IT_number 147
_space_group_name_Hall '-P 3'
_cell_length_a 10.6614
_cell_length_b 10.6614
_cell_length_c 3.3695
_cell_angle_alpha 90.00
_cell_angle_beta 90.00
_cell_angle_gamma 120.00
loop_
_atom_site_label
_atom_site_type_symbol
_atom_site_fract_x
_atom_site_fract_y
_atom_site_fract_z
Pa1 Pa 0.1433 0.6988 0.2720
In1 In 0.0000 0.0000 0.5000
Tc1 Tc 0.0241 0.7707 0.7675
Tc2 Tc 0.3333 0.6667 0.7739
```

# 5
The following is a PBE-GGA calculation of a relaxed PaInTc2 crystal, from Alexandria via LeMat-Bulk.

The total energy is -33.7 eV per cell. As for the density: 12.13 g/cm³. As for the energy relative to the elements: -0.17 eV/atom. The calculation puts the energy above the most stable polymorph in this dataset at 0 meV/atom.

```
data_PaInTc2
_space_group_name_H-M_alt 'P 4/m m m'
_space_group_IT_number 123
_space_group_name_Hall '-P 4 2'
_cell_length_a 4.600
_cell_length_b 4.600
_cell_length_c 3.506
_cell_angle_alpha 90.00
_cell_angle_beta 90.00
_cell_angle_gamma 90.00
loop_
_atom_site_label
_atom_site_type_symbol
_atom_site_fract_x
_atom_site_fract_y
_atom_site_fract_z
Pa1 Pa 0.000 0.000 0.000
In1 In 0.500 0.500 0.000
Tc1 Tc 0.000 0.500 0.500
```

# 6
The following is a PBE-GGA calculation of a relaxed PaInTc2 crystal, from Alexandria via LeMat-Bulk.

The total energy is -94.1 eV per cell. As for the density: 10.32 g/cm³. As for the energy relative to the elements: 0.40 eV/atom. The calculation puts the energy above the most stable polymorph in this dataset at 578 meV/atom.

```
data_PaInTc2
_space_group_name_H-M_alt 'R -3 m'
_space_group_IT_number 166
_space_group_name_Hall '-R 3 2"'
_cell_length_a 3.3218
_cell_length_b 3.3218
_cell_length_c 27.3786
_cell_angle_alpha 90.00
_cell_angle_beta 90.00
_cell_angle_gamma 120.00
loop_
_atom_site_label
_atom_site_type_symbol
_atom_site_fract_x
_atom_site_fract_y
_atom_site_fract_z
Pa1 Pa 0.0000 0.0000 0.0000
In1 In 0.0000 0.0000 0.5000
Tc1 Tc 0.0000 0.0000 0.3994
```

# 7
The following is a PBE-GGA calculation of a relaxed PaInTc2 crystal, from Alexandria via LeMat-Bulk.

The total energy is -133.3 eV per cell. As for the density: 12.01 g/cm³. As for the energy relative to the elements: -0.09 eV/atom. The calculation puts the energy above the most stable polymorph in this dataset at 88 meV/atom.

```
data_PaInTc2
_space_group_name_H-M_alt 'F m -3 m'
_space_group_IT_number 225
_space_group_name_Hall '-F 4 2 3'
_cell_length_a 6.692
_cell_length_b 6.692
_cell_length_c 6.692
_cell_angle_alpha 90.00
_cell_angle_beta 90.00
_cell_angle_gamma 90.00
loop_
_atom_site_label
_atom_site_type_symbol
_atom_site_fract_x
_atom_site_fract_y
_atom_site_fract_z
Pa1 Pa 0.000 0.000 0.000
In1 In 0.000 0.000 0.500
Tc1 Tc 0.250 0.250 0.250
```

# 8
The following is a PBE-GGA calculation of a relaxed PaIn2Tc crystal, from Alexandria via LeMat-Bulk.

The total energy is -51.9 eV per cell. As for the density: 10.39 g/cm³. As for the energy relative to the elements: -0.16 eV/atom.

```
data_PaIn2Tc
_space_group_name_H-M_alt 'P 1 21/m 1'
_space_group_IT_number 11
_space_group_name_Hall '-P 2yb'
_cell_length_a 4.941
_cell_length_b 7.291
_cell_length_c 5.238
_cell_angle_alpha 90.00
_cell_angle_beta 108.87
_cell_angle_gamma 90.00
loop_
_atom_site_label
_atom_site_type_symbol
_atom_site_fract_x
_atom_site_fract_y
_atom_site_fract_z
Pa1 Pa 0.029 0.250 0.134
In1 In 0.392 0.046 0.718
Tc1 Tc 0.110 0.750 0.340
```